Run i
Here is a geometry-optimized Cd2CuW structure from the Alexandria database. Energies are from PBE.

Summary:
spin magnetization	0.00	Bohr magnetons per cell

Lattice parameters (Å, degrees): 2.8742 2.8742 29.5244 90.00 90.00 120.00
Space group R3m (No. 160, hexagonal axes)
Inequivalent atoms, fractional coordinates:
1 Cd 0.0000 0.0000 0.0000 (multiplicity 3)
2 Cd 0.0000 0.0000 0.2364 (multiplicity 3)
3 Cu 0.0000 0.0000 0.4907 (multiplicity 3)
4 W 0.0000 0.0000 0.7523 (multiplicity 3)


Run ii
Here is a geometry-optimized Cd2CuW structure from the Alexandria database. Energies are from PBE.

Summary:
spin magnetization	0.00	Bohr magnetons per cell

Lattice parameters (Å, degrees): 11.0210 2.7256 5.2787 90.00 117.86 90.00
Space group Cm (No. 8)
Inequivalent atoms, fractional coordinates:
1 Cd 0.0000 0.0000 0.0000 (multiplicity 2)
2 Cd 0.2315 0.0000 0.5799 (multiplicity 2)
3 Cu 0.4769 0.0000 0.4912 (multiplicity 2)
4 W 0.2556 0.5000 0.0941 (multiplicity 2)


The structure with the least stability is run ii.


Run i
Here is a geometry-optimized Cd3CuW structure from the Alexandria database. Energies are from PBE.

Summary:
spin magnetization	2.86	Bohr magnetons per cell

Lattice parameters (Å, degrees): 5.3976 5.3976 5.3976 90.00 90.00 90.00
Space group Pm-3m (No. 221)
Inequivalent atoms, fractional coordinates:
1 Cd 0.0000 0.0000 0.5000 (multiplicity 3)
2 Cu 0.5000 0.5000 0.5000 (multiplicity 1)
3 W 0.0000 0.0000 0.0000 (multiplicity 1)


Run ii
Here is a geometry-optimized Cd3CuW structure from the Alexandria database. Energies are from PBE.

Summary:
spin magnetization	3.56	Bohr magnetons per cell

Lattice parameters (Å, degrees): 4.8444 4.8444 4.8444 90.00 90.00 90.00
Space group Pm-3m (No. 221)
Inequivalent atoms, fractional coordinates:
1 Cd 0.0000 0.0000 0.5000 (multiplicity 3)
2 Cu 0.0000 0.0000 0.0000 (multiplicity 1)
3 W 0.5000 0.5000 0.5000 (multiplicity 1)


The structure with the least stability is run i.


Run i
Here is a geometry-optimized Y2Cd2Cu structure from the Alexandria database. Energies are from PBE.

Summary:
spin magnetization	0.00	Bohr magnetons per cell

Lattice parameters (Å, degrees): 7.1644 7.1644 4.7916 90.00 90.00 90.00
Space group P4/mbm (No. 127)
Inequivalent atoms, fractional coordinates:
1 Y 0.1689 0.3311 0.0000 (multiplicity 4)
2 Cd 0.1405 0.6405 0.5000 (multiplicity 4)
3 Cu 0.0000 0.0000 0.5000 (multiplicity 2)


Run ii
Here is a geometry-optimized Y2Cd2Cu structure from the Alexandria database. Energies are from PBE.

Summary:
spin magnetization	0.00	Bohr magnetons per cell

Lattice parameters (Å, degrees): 7.5572 7.5572 4.7530 90.00 90.00 90.00
Space group P4/mbm (No. 127)
Inequivalent atoms, fractional coordinates:
1 Y 0.1610 0.3389 0.0000 (multiplicity 4)
2 Cd 0.1416 0.6416 0.5000 (multiplicity 4)
3 Cu 0.0000 0.0000 0.0000 (multiplicity 2)


The structure with the least stability is run ii.